[1]
Compound: LaGeSe2
Source: the Alexandria database
Functional: PBE-GGA
Structure: optimized geometry

Summary:
E_tot	-4.99	eV/atom
space group	R-3m

Unit cell a=9.0176 b=9.0176 c=9.0176 alpha=27.77 beta=27.77 gamma=27.77
Atoms (fractional coordinates):
Ge (0.0000, 0.0000, 0.0000)
Se (0.8969, 0.8969, 0.8969)
Se (0.1031, 0.1031, 0.1031)
La (0.5000, 0.5000, 0.5000)

[2]
Compound: Pr3NpPa2N6
Source: the Alexandria database
Functional: PBE-GGA
Structure: optimized geometry

Summary:
E_tot	-9.46	eV/atom
space group	C2/m

Unit cell a=6.1820 b=6.1820 c=6.2403 alpha=99.53 beta=99.53 gamma=119.99
Last column: magnetic moment on the atom in μB.
Atoms (fractional coordinates):
Pr (0.1661, 0.8339, 0.5000)  0.01
Pr (0.8339, 0.1661, 0.5000)  0.01
Pr (0.5000, 0.5000, 0.5000)  0.01
Np (0.0000, 0.0000, 0.0000)  3.06
Pa (0.3333, 0.6667, 0.0000)  0.08
Pa (0.6667, 0.3333, 0.0000)  0.08
N (0.9304, 0.5941, 0.7910)  -0.04
N (0.7331, 0.7331, 0.2095)  -0.03
N (0.0696, 0.4059, 0.2090)  -0.04
N (0.5941, 0.9304, 0.7910)  -0.04
N (0.2669, 0.2669, 0.7905)  -0.03
N (0.4059, 0.0696, 0.2090)  -0.04

[3]
Compound: Pm3WC3
Source: the Alexandria database
Functional: PBE-GGA
Structure: optimized geometry

Summary:
energy relative to the elements	-0.20	eV per atom
space group	Cmcm

Unit cell a=5.3826 b=7.0403 c=7.0397 alpha=100.68 beta=90.00 gamma=90.00
Atoms (fractional coordinates):
Pm (0.7500, 0.5943, 0.8275)
Pm (0.7500, 0.1107, 0.8893)
Pm (0.7500, 0.1725, 0.4057)
Pm (0.2500, 0.4057, 0.1725)
Pm (0.2500, 0.8893, 0.1107)
Pm (0.2500, 0.8275, 0.5943)
W (0.2500, 0.3068, 0.6931)
W (0.7500, 0.6932, 0.3069)
C (0.2500, 0.5819, 0.8220)
C (0.2500, 0.1243, 0.8757)
C (0.2500, 0.1779, 0.4180)
C (0.7500, 0.4181, 0.1780)
C (0.7500, 0.8757, 0.1243)
C (0.7500, 0.8221, 0.5820)